[1]
This record from the Alexandria database describes a relaxed structure of TbPm4Ho2. The functional is PBE-GGA.

Cell and atoms, written as POSCAR:
```
TbPm4Ho2
1.0
12.038 -3.082 -1.552
-9.424 8.100 -1.552
0.022 0.042 6.793
Tb Pm Ho
2 8 4
direct
0.424 0.674 0.500
0.674 0.424 0.000
0.712 0.175 0.864
0.175 0.712 0.364
0.185 0.794 0.896
0.794 0.185 0.396
0.040 0.149 0.604
0.561 0.599 0.137
0.599 0.561 0.637
0.149 0.040 0.104
0.621 0.302 0.450
0.922 0.103 0.050
0.103 0.922 0.550
0.302 0.621 0.950
```

Results
- space-group type = No. 43
- ΔE to the lowest computed polymorph (kJ/mol of formula units) = 0.0

***

[2]
This record from the Alexandria database describes a relaxed structure of Tb2Pm9Ho. The functional is PBE-GGA.

Cell and atoms, written as POSCAR:
```
Tb2Pm9Ho
1.0
5.123 0.000 0.000
0.000 5.123 0.000
0.000 0.000 15.369
Tb Pm Ho
2 9 1
direct
0.000 0.000 0.333
0.000 0.000 0.667
0.500 0.500 0.000
0.500 0.500 0.333
0.500 0.500 0.667
0.500 0.000 0.166
0.500 0.000 0.500
0.500 0.000 0.834
0.000 0.500 0.166
0.000 0.500 0.500
0.000 0.500 0.834
0.000 0.000 0.000
```

Results
- space-group type = No. 123

***

[3]
This record from the Alexandria database describes a relaxed structure of TbPm8Ho2. The functional is PBE-GGA.

Cell and atoms, written as POSCAR:
```
TbPm8Ho2
1.0
7.858 1.619 3.048
2.880 7.543 4.585
2.386 2.195 8.701
Tb Pm Ho
1 8 2
direct
0.000 0.000 0.000
0.199 0.351 0.832
0.801 0.168 0.649
0.291 0.741 0.741
0.709 0.259 0.259
0.199 0.832 0.351
0.801 0.649 0.168
0.776 0.608 0.608
0.224 0.392 0.392
0.536 0.854 0.854
0.464 0.146 0.146
```

Results
- space-group type = No. 12
- ΔE to the lowest computed polymorph (kJ/mol of formula units) = 42.3

***

[4]
This record from the Alexandria database describes a relaxed structure of TbPmHo. The functional is PBE-GGA.

Cell and atoms, written as POSCAR:
```
TbPmHo
1.0
3.611 0.013 0.042
1.790 3.073 0.600
-0.097 0.463 8.901
Tb Pm Ho
1 1 1
direct
0.649 0.124 0.276
0.092 0.239 0.614
0.872 0.679 0.950
```

Results
- space-group type = No. 8
- ΔE to the lowest computed polymorph (kJ/mol of formula units) = 0.0

***

Number 1: calculated volume 33.35 Å³ per atom, formation energy from the elements 56.7 meV/atom. Number 2: calculated volume 33.62 Å³ per atom, formation energy from the elements 16.4 meV/atom. Number 3: calculated volume 34.39 Å³ per atom, formation energy from the elements 208.5 meV/atom. Number 4: calculated volume 32.54 Å³ per atom, formation energy from the elements 13.2 meV/atom.